# 1
## Rb2BaSrF6 (PBE)

Data for a geometry-optimized Rb2BaSrF6 structure. Values from VASP.

```
&SYSTEM
  ibrav = 0, nat = 10, ntyp = 4
/
ATOMIC_SPECIES
Rb 85.47 Rb.upf
Ba 137.33 Ba.upf
Sr 87.62 Sr.upf
F 19.00 F.upf
CELL_PARAMETERS angstrom
0.000 4.946 4.946
4.946 0.000 4.946
4.946 4.946 0.000
ATOMIC_POSITIONS crystal
Rb 0.250 0.250 0.250
Rb 0.750 0.750 0.750
Ba 0.000 0.000 0.000
Sr 0.500 0.500 0.500
F 0.258 0.258 0.742
F 0.258 0.742 0.258
F 0.258 0.742 0.742
F 0.742 0.258 0.258
F 0.742 0.258 0.742
F 0.742 0.742 0.258
```

space-group type: Fm-3m
energy above the most stable polymorph in this dataset: 56 meV per atom
total DFT energy (no corrections): -50.00 eV for the cell shown

# 2
## Rb2BaTaF (PBE)

Data for a geometry-optimized Rb2BaTaF structure. Values from VASP.

```
&SYSTEM
  ibrav = 0, nat = 5, ntyp = 4
/
ATOMIC_SPECIES
Rb 85.47 Rb.upf
Ba 137.33 Ba.upf
Ta 180.95 Ta.upf
F 19.00 F.upf
CELL_PARAMETERS angstrom
5.241 0.000 0.000
0.000 5.241 0.000
0.000 0.000 7.938
ATOMIC_POSITIONS crystal
Rb 0.000 0.500 0.000
Rb 0.500 0.000 0.000
Ba 0.000 0.000 0.500
Ta 0.500 0.500 0.500
F 0.500 0.500 0.000
```

space-group type: P4/mmm
total DFT energy (no corrections): -16.77 eV for the cell shown